# 1
# NiSnTe

A geometry-optimized NiSnTe structure (PBE, Alexandria).

Computed properties:
Volume   22.07 Å³ per atom
Formation energy without anion corrections   -73 kJ/mol of formula units

Cell lengths 3.8581, 6.3809, 5.3779 Å; angles 90.00, 90.00, 90.00 degrees
With the nearest neighbours (Å) after each atom.
Space group Pmn2_1 (No. 31)
Asymmetric unit:
1 Ni 0.0000 0.2409 0.0000 x2  3 Te 2.56-2.58, 3 Sn 2.59-2.64
2 Sn 0.0000 0.6017 0.7775 x2  3 Ni 2.59-2.64
3 Te 0.0000 0.8844 0.2168 x2  3 Ni 2.56-2.58


# 2
# NiSn3Te

A geometry-optimized NiSn3Te structure (PBE, Alexandria).

Computed properties:
Volume   25.96 Å³ per atom
Formation energy without anion corrections   -26 kJ/mol of formula units

Cell lengths 5.0632, 5.0632, 5.0632 Å; angles 90.00, 90.00, 90.00 degrees
With the nearest neighbours (Å) after each atom.
Space group Pm-3m (No. 221)
Asymmetric unit:
1 Ni 0.0000 0.0000 0.0000 x1  6 Sn 2.53
2 Sn 0.0000 0.0000 0.5000 x3  2 Ni 2.53
3 Te 0.5000 0.5000 0.5000 x1  12 Sn 3.58


# 3
# Ni2SnTe

A geometry-optimized Ni2SnTe structure (PBE, Alexandria).

Computed properties:
Volume   17.46 Å³ per atom
Formation energy without anion corrections   58 kJ/mol of formula units

Cell lengths 6.5370, 6.5370, 6.5370 Å; angles 90.00, 90.00, 90.00 degrees
With the nearest neighbours (Å) after each atom.
Space group Fm-3m (No. 225)
Asymmetric unit:
1 Ni 0.2500 0.2500 0.2500 x8  4 Te 2.83, 4 Sn 2.83
2 Sn 0.0000 0.0000 0.0000 x4  8 Ni 2.83
3 Te 0.0000 0.0000 0.5000 x4  8 Ni 2.83


# 4
# NiSn4Te2

A geometry-optimized NiSn4Te2 structure (PBE, Alexandria).

Computed properties:
Volume   28.94 Å³ per atom
Formation energy without anion corrections   -55 kJ/mol of formula units

Cell lengths 4.8218, 4.8218, 17.4251 Å; angles 90.00, 90.00, 90.00 degrees
With the nearest neighbours (Å) after each atom.
Space group I4/mmm (No. 139)
Asymmetric unit:
1 Ni 0.0000 0.0000 0.0000 x2  4 Sn 2.41
2 Sn 0.0000 0.0000 0.1562 x4  1 Ni 2.72
3 Sn 0.0000 0.5000 0.0000 x4  2 Ni 2.41
4 Te 0.0000 0.0000 0.3453 x4  9 Sn 3.29-3.62


# 5
# NiSnTe

A geometry-optimized NiSnTe structure (PBE, Alexandria).

Computed properties:
Volume   23.34 Å³ per atom
Formation energy without anion corrections   -48 kJ/mol of formula units

Cell lengths 3.9343, 3.9343, 5.2237 Å; angles 90.00, 90.00, 120.00 degrees
With the nearest neighbours (Å) after each atom.
Space group P3m1 (No. 156)
Asymmetric unit:
1 Ni 0.0000 0.0000 0.0000 x1  3 Te 2.54, 3 Sn 2.63
2 Sn 0.3333 0.6667 0.2555 x1  3 Ni 2.63
3 Te 0.6667 0.3333 0.7823 x1  3 Ni 2.54


# 6
# Ni2SnTe2

A geometry-optimized Ni2SnTe2 structure (PBE, Alexandria).

Computed properties:
Volume   21.81 Å³ per atom
Formation energy without anion corrections   -31 kJ/mol of formula units

Cell lengths 3.7526, 3.7526, 15.4862 Å; angles 90.00, 90.00, 90.00 degrees
With the nearest neighbours (Å) after each atom.
Space group I4/mmm (No. 139)
Asymmetric unit:
1 Ni 0.0000 0.5000 0.2500 x4  4 Te 2.55, 4 Ni 2.65
2 Sn 0.0000 0.0000 0.0000 x2  8 Te 3.41, 4 Sn 3.75
3 Te 0.0000 0.0000 0.3617 x4  4 Ni 2.55


# 7
# Ni2SnTe3

A geometry-optimized Ni2SnTe3 structure (PBE, Alexandria).

Computed properties:
Volume   24.69 Å³ per atom
Formation energy without anion corrections   -102 kJ/mol of formula units

Cell lengths 7.5825, 7.5825, 17.8528 Å; angles 90.00, 90.00, 120.00 degrees
With the nearest neighbours (Å) after each atom.
Space group R-3m (No. 166, hexagonal axes)
Asymmetric unit:
1 Ni 0.0000 0.0000 0.0000 x3  6 Te 2.57
2 Ni 0.0000 0.5000 0.0000 x9  4 Te 2.55, 2 Sn 2.68
3 Sn 0.0000 0.0000 0.2469 x6  3 Ni 2.68
4 Te 0.0029 0.5015 0.2595 x18  3 Ni 2.55-2.57


# 8
# Ni2Sn2Te

A geometry-optimized Ni2Sn2Te structure (PBE, Alexandria).

Computed properties:
Volume   21.31 Å³ per atom
Formation energy without anion corrections   42 kJ/mol of formula units

Cell lengths 3.4941, 3.4941, 17.4519 Å; angles 90.00, 90.00, 90.00 degrees
With the nearest neighbours (Å) after each atom.
Space group I4/mmm (No. 139)
Asymmetric unit:
1 Ni 0.0000 0.5000 0.2500 x4  4 Ni 2.47, 4 Sn 2.62
2 Sn 0.0000 0.0000 0.1383 x4  4 Ni 2.62
3 Te 0.0000 0.0000 0.5000 x2  8 Sn 3.45, 4 Te 3.49


# 9
# NiSnTe

A geometry-optimized NiSnTe structure (PBE, Alexandria).

Computed properties:
Volume   22.54 Å³ per atom
Formation energy without anion corrections   -25 kJ/mol of formula units

Cell lengths 6.4669, 6.4669, 6.4669 Å; angles 90.00, 90.00, 90.00 degrees
With the nearest neighbours (Å) after each atom.
Space group F-43m (No. 216)
Asymmetric unit:
1 Ni 0.0000 0.0000 0.0000 x4  4 Sn 2.80, 4 Te 2.80
2 Sn 0.2500 0.2500 0.2500 x4  4 Ni 2.80
3 Te 0.2500 0.2500 0.7500 x4  4 Ni 2.80


# 10
# Ni2SnTe

A geometry-optimized Ni2SnTe structure (PBE, Alexandria).

Computed properties:
Volume   20.62 Å³ per atom
Formation energy without anion corrections   28 kJ/mol of formula units

Cell lengths 4.6484, 4.6484, 15.2686 Å; angles 90.00, 90.00, 90.00 degrees
With the nearest neighbours (Å) after each atom.
Space group I-42d (No. 122)
Asymmetric unit:
1 Ni 0.2232 0.2500 0.1250 x8  2 Te 2.46, 2 Sn 2.58
2 Sn 0.0000 0.0000 0.5000 x4  4 Ni 2.58
3 Te 0.0000 0.0000 0.0000 x4  4 Ni 2.46


# 11
# Ni2SnTe2

A geometry-optimized Ni2SnTe2 structure (PBE, Alexandria).

Computed properties:
Volume   19.83 Å³ per atom
Formation energy without anion corrections   50 kJ/mol of formula units

Cell lengths 7.4210, 7.4210, 3.5999 Å; angles 90.00, 90.00, 90.00 degrees
With the nearest neighbours (Å) after each atom.
Space group P4/mbm (No. 127)
Asymmetric unit:
1 Ni 0.1200 0.3800 0.0000 x4  1 Ni 2.52, 4 Te 2.76
2 Sn 0.0000 0.0000 0.0000 x2  4 Ni 2.96
3 Te 0.1597 0.6597 0.5000 x4  6 Ni 2.76-2.93


# 12
# Ni2SnTe2

A geometry-optimized Ni2SnTe2 structure (PBE, Alexandria).

Computed properties:
Volume   21.16 Å³ per atom
Formation energy without anion corrections   -49 kJ/mol of formula units

Cell lengths 3.9186, 3.9186, 23.8678 Å; angles 90.00, 90.00, 120.00 degrees
With the nearest neighbours (Å) after each atom.
Space group R-3m (No. 166, hexagonal axes)
Asymmetric unit:
1 Ni 0.0000 0.0000 0.1055 x6  3 Te 2.55, 3 Sn 2.69
2 Sn 0.0000 0.0000 0.5000 x3  6 Ni 2.69
3 Te 0.0000 0.0000 0.2773 x6  3 Ni 2.55


# 13
# Ni2SnTe2

A geometry-optimized Ni2SnTe2 structure (PBE, Alexandria).

Computed properties:
Volume   22.29 Å³ per atom
Formation energy without anion corrections   -47 kJ/mol of formula units

Cell lengths 11.7862, 4.0130, 5.2611 Å; angles 90.00, 116.42, 90.00 degrees
With the nearest neighbours (Å) after each atom.
Space group C2/m (No. 12)
Asymmetric unit:
1 Ni 0.1467 0.0000 0.1473 x4  2 Sn 2.53, 4 Te 2.64-2.67
2 Sn 0.0000 0.5000 0.0000 x2  4 Ni 2.53
3 Te 0.1904 0.0000 0.6906 x4  4 Ni 2.64-2.67


# 14
# NiSnTe

A geometry-optimized NiSnTe structure (PBE, Alexandria).

Computed properties:
Volume   23.69 Å³ per atom
Formation energy without anion corrections   -51 kJ/mol of formula units

Cell lengths 5.7578, 12.1664, 4.0576 Å; angles 90.00, 90.00, 90.00 degrees
With the nearest neighbours (Å) after each atom.
Space group Ama2 (No. 40)
Asymmetric unit:
1 Ni 0.0000 0.0000 0.0000 x4  2 Te 2.49, 4 Sn 2.66
2 Sn 0.2500 0.0765 0.5000 x4  4 Ni 2.66
3 Te 0.2500 0.3329 0.4984 x4  2 Ni 2.49


# 15
# Ni2Sn2Te

A geometry-optimized Ni2Sn2Te structure (PBE, Alexandria).

Computed properties:
Volume   19.35 Å³ per atom
Formation energy without anion corrections   8 kJ/mol of formula units

Cell lengths 7.1978, 7.1978, 3.7341 Å; angles 90.00, 90.00, 90.00 degrees
With the nearest neighbours (Å) after each atom.
Space group P4/mbm (No. 127)
Asymmetric unit:
1 Ni 0.1294 0.3706 0.0000 x4  1 Ni 2.64, 6 Sn 2.79-2.86, 2 Te 2.83
2 Sn 0.1577 0.6577 0.5000 x4  6 Ni 2.79-2.86
3 Te 0.0000 0.0000 0.0000 x2  4 Ni 2.83


# 16
# Tl2NiSnTe

A geometry-optimized Tl2NiSnTe structure (PBE, Alexandria).

Computed properties:
Volume   27.11 Å³ per atom
Formation energy without anion corrections   -38 kJ/mol of formula units

Cell lengths 5.1765, 5.1765, 5.0583 Å; angles 90.00, 90.00, 90.00 degrees
With the nearest neighbours (Å) after each atom.
Space group P4/mmm (No. 123)
Asymmetric unit:
1 Tl 0.0000 0.5000 0.0000 x2  2 Ni 2.59
2 Ni 0.0000 0.0000 0.0000 x1  2 Sn 2.53, 4 Tl 2.59
3 Sn 0.0000 0.0000 0.5000 x1  2 Ni 2.53
4 Te 0.5000 0.5000 0.5000 x1  8 Tl 3.62, 4 Sn 3.66


# 17
# TlNiSn2Te

A geometry-optimized TlNiSn2Te structure (PBE, Alexandria).

Computed properties:
Volume   26.55 Å³ per atom
Formation energy without anion corrections   -38 kJ/mol of formula units

Cell lengths 5.0471, 5.0471, 5.2119 Å; angles 90.00, 90.00, 90.00 degrees
With the nearest neighbours (Å) after each atom.
Space group P4/mmm (No. 123)
Asymmetric unit:
1 Tl 0.0000 0.0000 0.0000 x1  2 Ni 2.61
2 Ni 0.0000 0.0000 0.5000 x1  4 Sn 2.52, 2 Tl 2.61
3 Sn 0.0000 0.5000 0.5000 x2  2 Ni 2.52
4 Te 0.5000 0.5000 0.0000 x1  4 Tl 3.57, 8 Sn 3.63


# 18
# ThNi6Sn2

A geometry-optimized ThNi6Sn2 structure (PBE, Alexandria).

Computed properties:
Formation energy from the elements   -14 kJ/mol of atoms
Volume   16.18 Å³ per atom

Cell lengths 3.5928, 6.4228, 12.6204 Å; angles 90.00, 90.00, 90.00 degrees
With the nearest neighbours (Å) after each atom.
Space group Immm (No. 71)
Asymmetric unit:
1 Th 0.0000 0.0000 0.0000 x2  4 Ni 2.73
2 Ni 0.0000 0.1807 0.5000 x4  3 Ni 2.32-2.43
3 Ni 0.0000 0.3023 0.3180 x8  4 Ni 2.43-2.57, 3 Sn 2.59-2.70
4 Sn 0.0000 0.5000 0.1389 x4  10 Ni 2.59-2.77


# 19
# ThNi5Sn

A geometry-optimized ThNi5Sn structure (PBE, Alexandria).

Computed properties:
Formation energy from the elements   -39 kJ/mol of atoms
Volume   14.95 Å³ per atom

Cell lengths 8.1463, 4.9695, 10.3398 Å; angles 90.00, 90.00, 90.00 degrees
With the nearest neighbours (Å) after each atom.
Space group Pnma (No. 62)
Asymmetric unit:
1 Th 0.2451 0.2500 0.0561 x4  6 Ni 2.81-3.05
2 Ni 0.0613 0.2500 0.6010 x4  4 Ni 2.49-2.60, 1 Sn 2.59
3 Ni 0.0705 0.9998 0.8090 x8  7 Ni 2.46-2.53, 2 Sn 2.71-2.73
4 Ni 0.0872 0.7500 0.0184 x4  5 Ni 2.49-2.53, 1 Sn 2.77
5 Ni 0.1800 0.7500 0.2481 x4  7 Ni 2.46-2.60, 2 Sn 2.75
6 Sn 0.1403 0.2500 0.3580 x4  8 Ni 2.59-2.77


# 20
# Th4Ni2Sn

A geometry-optimized Th4Ni2Sn structure (PBE, Alexandria).

Computed properties:
Formation energy from the elements   -21 kJ/mol of atoms
Volume   27.53 Å³ per atom

Cell lengths 4.0182, 4.0182, 41.3520 Å; angles 90.00, 90.00, 120.00 degrees
With the nearest neighbours (Å) after each atom.
Space group R-3m (No. 166, hexagonal axes)
Asymmetric unit:
1 Th 0.0000 0.0000 0.1099 x6  3 Ni 2.86
2 Th 0.0000 0.0000 0.2999 x6  3 Ni 2.76
3 Ni 0.0000 0.0000 0.4028 x6  6 Th 2.76-2.86
4 Sn 0.0000 0.0000 0.5000 x3  6 Th 3.30


# 21
# ThNi9Sn2

A geometry-optimized ThNi9Sn2 structure (PBE, Alexandria).

Computed properties:
Formation energy from the elements   -26 kJ/mol of atoms
Volume   13.97 Å³ per atom

Cell lengths 8.2794, 8.2794, 4.8898 Å; angles 90.00, 90.00, 90.00 degrees
With the nearest neighbours (Å) after each atom.
Space group P4/mbm (No. 127)
Asymmetric unit:
1 Th 0.0000 0.0000 0.0000 x2  16 Ni 3.03-3.29, 4 Sn 3.27
2 Ni 0.0000 0.5000 0.5000 x2  8 Ni 2.39-2.50
3 Ni 0.0661 0.2055 0.5000 x8  8 Ni 2.50-2.67
4 Ni 0.1743 0.6743 0.2462 x8  7 Ni 2.39-2.55, 1 Sn 2.63
5 Sn 0.1257 0.3743 0.0000 x4  12 Ni 2.63-2.86, 1 Sn 2.94


# 22
# Th3Ni3Sn4

A geometry-optimized Th3Ni3Sn4 structure (PBE, Alexandria).

Computed properties:
Formation energy from the elements   -61 kJ/mol of atoms
Volume   22.72 Å³ per atom

Cell lengths 9.6865, 9.6865, 9.6865 Å; angles 90.00, 90.00, 90.00 degrees
With the nearest neighbours (Å) after each atom.
Space group I-43d (No. 220)
Asymmetric unit:
1 Th 0.0000 0.2500 0.3750 x12  4 Ni 2.97, 4 Sn 3.30
2 Ni 0.0000 0.2500 0.8750 x12  4 Sn 2.69, 4 Th 2.97
3 Sn 0.0785 0.0785 0.0785 x16  3 Ni 2.69


# 23
# Th4NiSn8

A geometry-optimized Th4NiSn8 structure (PBE, Alexandria).

Computed properties:
Formation energy from the elements   -51 kJ/mol of atoms
Volume   26.89 Å³ per atom

Cell lengths 4.4596, 4.5225, 17.3344 Å; angles 90.00, 90.00, 90.00 degrees
With the nearest neighbours (Å) after each atom.
Space group Pmm2 (No. 25)
Asymmetric unit:
1 Th 0.0000 0.0000 0.0000 x1  10 Sn 3.24-3.46
2 Th 0.0000 0.5000 0.4937 x1  10 Sn 3.26-3.62
3 Th 0.5000 0.0000 0.7895 x1  8 Sn 3.34-3.52, 4 Ni 3.49
4 Th 0.5000 0.5000 0.2912 x1  10 Sn 3.25-3.58
5 Ni 0.0000 0.5000 0.7054 x1  5 Sn 2.49-2.57
6 Sn 0.0000 0.0000 0.3303 x1  2 Sn 3.06, 4 Th 3.25
7 Sn 0.0000 0.0000 0.6347 x1  2 Ni 2.57
8 Sn 0.0000 0.5000 0.1458 x1  4 Sn 3.18, 4 Th 3.37-3.39
9 Sn 0.0000 0.5000 0.8490 x1  1 Ni 2.49
10 Sn 0.5000 0.0000 0.1458 x1  4 Sn 3.18, 4 Th 3.37-3.39
11 Sn 0.5000 0.0000 0.4511 x1  2 Sn 3.06, 4 Th 3.26
12 Sn 0.5000 0.5000 0.6339 x1  2 Ni 2.55
13 Sn 0.5000 0.5000 0.9622 x1  2 Sn 2.97, 4 Th 3.24


Number 1: total energy -0.168 Ha/atom, total magnetic moment 0.00 μB per formula unit. Number 2: total energy -0.156 Ha/atom, total magnetic moment 0.00 μB per formula unit. Number 3: total energy -0.166 Ha/atom, total magnetic moment 0.00 μB per formula unit. Number 4: total energy -0.150 Ha/atom, total magnetic moment 0.00 μB per formula unit. Number 5: total energy -0.164 Ha/atom, total magnetic moment 0.00 μB per formula unit. Number 6: total energy -0.163 Ha/atom, total magnetic moment 0.00 μB per formula unit. Number 7: total energy -0.160 Ha/atom, total magnetic moment 0.00 μB per formula unit. Number 8: total energy -0.164 Ha/atom, total magnetic moment 0.00 μB per formula unit. Number 9: total energy -0.162 Ha/atom, total magnetic moment 0.00 μB per formula unit. Number 10: total energy -0.169 Ha/atom, total magnetic moment 0.00 μB per formula unit. Number 11: total energy -0.157 Ha/atom, total magnetic moment 0.00 μB per formula unit. Number 12: total energy -0.164 Ha/atom, total magnetic moment 0.00 μB per formula unit. Number 13: total energy -0.164 Ha/atom, total magnetic moment 0.00 μB per formula unit. Number 14: total energy -0.165 Ha/atom, total magnetic moment 0.00 μB per formula unit. Number 15: total energy -0.166 Ha/atom, total magnetic moment 0.00 μB per formula unit. Number 16: total energy -0.133 Ha/atom, total magnetic moment 0.00 μB per formula unit. Number 17: total energy -0.145 Ha/atom, total magnetic moment 0.00 μB per formula unit. Number 18: total energy -0.210 Ha/atom, total magnetic moment 0.00 μB per formula unit. Number 19: total energy -0.227 Ha/atom, total magnetic moment 0.00 μB per formula unit. Number 20: total energy -0.245 Ha/atom, total magnetic moment 0.00 μB per formula unit. Number 21: total energy -0.217 Ha/atom, total magnetic moment 0.00 μB per formula unit. Number 22: total energy -0.228 Ha/atom, total magnetic moment 0.00 μB per formula unit. Number 23: total energy -0.210 Ha/atom, total magnetic moment 0.00 μB per formula unit.